# LuAsNO

LuAsNO after structural relaxation (PBE-GGA, OQMD).

Unit cell a=3.909 b=3.909 c=7.462 alpha=90.00 beta=90.00 gamma=90.00
Space group P4/nmm (No. 129, origin choice 2)
Unique sites:
Lu 0.250 0.250 0.130
As 0.250 0.750 0.500
N 0.250 0.250 0.663
O 0.250 0.750 0.000

Computed properties:
M_tot ... 0.014 μB/cell
Energy ... -52.445 eV for the cell shown